1.
Material: Cs2KAgPd
Method: DFT, PBE
State: relaxed Values from VASP.

Cell and atoms, written as Quantum ESPRESSO input:
```
&SYSTEM
  ibrav = 0, nat = 5, ntyp = 4
/
ATOMIC_SPECIES
Pd 106.42 Pd.upf
Cs 132.91 Cs.upf
K 39.10 K.upf
Ag 107.87 Ag.upf
CELL_PARAMETERS angstrom
-1.9495 -0.4393 6.3768
6.3913 -0.2234 1.9385
0.0793 6.1641 0.4489
ATOMIC_POSITIONS crystal
Pd 0.0000 0.0000 0.0000
Cs 0.5000 0.0000 0.0000
Cs 0.0000 0.5000 0.0000
K 0.0000 0.0000 0.5000
Ag 0.5000 0.5000 0.5000
```

Calculated values
Size of the total moment: 0.00 μB/f.u.
E_tot: -10.205 eV for the cell shown
D(E_F): 0.077 states/eV/atom
Space-group type: P4/mmm (123)

2.
Material: TbAs3Ru3
Method: DFT, PBE
State: relaxed Values from VASP.

Cell and atoms, written as Quantum ESPRESSO input:
```
&SYSTEM
  ibrav = 0, nat = 14, ntyp = 3
/
ATOMIC_SPECIES
As 74.92 As.upf
Ru 101.07 Ru.upf
Tb 158.93 Tb.upf
CELL_PARAMETERS angstrom
6.6772 0.0000 0.0000
0.0000 6.6772 0.0000
0.0000 0.0000 6.6772
ATOMIC_POSITIONS crystal
As 0.5000 0.7500 0.0000
As 0.7500 0.0000 0.5000
As 0.0000 0.5000 0.2500
As 0.0000 0.5000 0.7500
As 0.5000 0.2500 0.0000
As 0.2500 0.0000 0.5000
Ru 0.0000 0.7500 0.5000
Ru 0.7500 0.5000 0.0000
Ru 0.0000 0.2500 0.5000
Ru 0.5000 0.0000 0.7500
Ru 0.2500 0.5000 0.0000
Ru 0.5000 0.0000 0.2500
Tb 0.5000 0.5000 0.5000
Tb 0.0000 0.0000 0.0000
```

Calculated values
Size of the total moment: 0.00 μB/f.u.
E_tot: -92.936 eV for the cell shown
D(E_F): 1.218 states/eV/atom
Space-group type: Pm-3n (223)

3.
Material: BaHf3Mo
Method: DFT, PBE
State: relaxed Values from VASP.

Cell and atoms, written as Quantum ESPRESSO input:
```
&SYSTEM
  ibrav = 0, nat = 5, ntyp = 3
/
ATOMIC_SPECIES
Hf 178.49 Hf.upf
Mo 95.94 Mo.upf
Ba 137.33 Ba.upf
CELL_PARAMETERS angstrom
5.2180 0.0000 0.0000
0.0000 5.2180 0.0000
0.0000 0.0000 5.2180
ATOMIC_POSITIONS crystal
Hf 0.0000 0.5000 0.0000
Hf 0.0000 0.0000 0.5000
Hf 0.5000 0.0000 0.0000
Mo 0.0000 0.0000 0.0000
Ba 0.5000 0.5000 0.5000
```

Calculated values
Size of the total moment: 0.00 μB/f.u.
E_tot: -39.471 eV for the cell shown
D(E_F): 2.205 states/eV/atom
Space-group type: Pm-3m (221)

4.
Material: BaReN3
Method: DFT, PBE
State: relaxed Values from VASP.

Cell and atoms, written as Quantum ESPRESSO input:
```
&SYSTEM
  ibrav = 0, nat = 10, ntyp = 3
/
ATOMIC_SPECIES
Ba 137.33 Ba.upf
N 14.01 N.upf
Re 186.21 Re.upf
CELL_PARAMETERS angstrom
4.7989 0.0106 -0.2487
1.7589 6.4684 -0.0412
-0.0337 0.4229 5.8486
ATOMIC_POSITIONS crystal
Ba 0.0567 0.3052 0.7016
Ba 0.2115 0.8010 0.1854
N 0.5976 0.0368 0.9634
N 0.1817 0.3805 0.2236
N 0.6584 0.0441 0.4461
N 0.9641 0.3076 0.2173
N 0.4999 0.4759 0.8786
N 0.5738 0.6348 0.8151
Re 0.6454 0.8839 0.7111
Re 0.6170 0.2396 0.1706
```

Calculated values
Size of the total moment: 0.00 μB/f.u.
E_tot: -81.072 eV for the cell shown
ΔE_f (raw): -0.24 eV/atom
D(E_F): 0.305 states/eV/atom
Space-group type: P1 (1)

5.
Material: TaFeSCl2
Method: DFT, PBE
State: relaxed Values from VASP.

Cell and atoms, written as Quantum ESPRESSO input:
```
&SYSTEM
  ibrav = 0, nat = 5, ntyp = 4
/
ATOMIC_SPECIES
Cl 35.45 Cl.upf
Ta 180.95 Ta.upf
Fe 55.84 Fe.upf
S 32.06 S.upf
CELL_PARAMETERS angstrom
-3.6083 2.1446 -1.1330
-0.5570 -2.7094 -3.3544
-2.4542 -2.7434 2.6234
ATOMIC_POSITIONS crystal
Cl 0.5000 0.0000 0.0000
Cl 0.0000 0.5000 0.0000
Ta 0.5000 0.5000 0.5000
Fe 0.0000 0.0000 0.0000
S 0.0000 0.0000 0.5000
```

Calculated values
Size of the total moment: 0.02 μB/f.u.
E_tot: -24.574 eV for the cell shown
ΔE_f (raw): 0.71 eV/atom
D(E_F): 1.394 states/eV/atom
Space-group type: P4/mmm (123)

6.
Material: InSnCl
Method: DFT, PBE
State: relaxed Values from VASP.

Cell and atoms, written as Quantum ESPRESSO input:
```
&SYSTEM
  ibrav = 0, nat = 6, ntyp = 3
/
ATOMIC_SPECIES
Sn 118.71 Sn.upf
Cl 35.45 Cl.upf
In 114.82 In.upf
CELL_PARAMETERS angstrom
5.8670 0.0000 0.0000
0.0000 3.2261 0.0000
-2.9335 -1.6130 9.2808
ATOMIC_POSITIONS crystal
Sn 0.7480 0.5000 0.0000
Sn 0.2520 0.5000 0.0000
Cl 0.3113 0.8113 0.6227
Cl 0.6887 0.1887 0.3773
In 0.8318 0.3318 0.6636
In 0.1682 0.6682 0.3364
```

Calculated values
Size of the total moment: 0.00 μB/f.u.
E_tot: -18.746 eV for the cell shown
ΔE_f (raw): -0.26 eV/atom
D(E_F): 0.542 states/eV/atom
Space-group type: Immm (71)

7.
Material: Cs3CdBr6
Method: DFT, PBE
State: relaxed Values from VASP.

Cell and atoms, written as Quantum ESPRESSO input:
```
&SYSTEM
  ibrav = 0, nat = 10, ntyp = 3
/
ATOMIC_SPECIES
Br 79.90 Br.upf
Cs 132.91 Cs.upf
Cd 112.41 Cd.upf
CELL_PARAMETERS angstrom
-0.7205 8.6501 0.2233
-8.0847 -0.5930 -3.1111
-6.5832 3.6990 4.2857
ATOMIC_POSITIONS crystal
Br 0.7248 0.2752 0.0000
Br 0.2752 0.2752 0.0000
Br 0.2752 0.7248 0.0000
Br 0.7248 0.7248 0.5505
Br 0.2752 0.2752 0.4495
Br 0.7248 0.7248 0.0000
Cs 0.0000 0.0000 0.0000
Cs 0.7500 0.2500 0.5000
Cs 0.2500 0.7500 0.5000
Cd 0.5000 0.5000 0.0000
```

Calculated values
Size of the total moment: 1.00 μB/f.u.
E_tot: -25.666 eV for the cell shown
ΔE_f (raw): -1.22 eV/atom
D(E_F): 2.167 states/eV/atom
Space-group type: Fm-3m (225)

8.
Material: TbAgSnRu
Method: DFT, PBE
State: relaxed Values from VASP.

Cell and atoms, written as Quantum ESPRESSO input:
```
&SYSTEM
  ibrav = 0, nat = 4, ntyp = 4
/
ATOMIC_SPECIES
Ru 101.07 Ru.upf
Sn 118.71 Sn.upf
Ag 107.87 Ag.upf
Tb 158.93 Tb.upf
CELL_PARAMETERS angstrom
-1.3225 -1.9240 4.2185
3.3124 -0.8866 3.3894
0.1195 2.6722 4.0115
ATOMIC_POSITIONS crystal
Ru 0.7500 0.7500 0.7500
Sn 0.5000 0.5000 0.5000
Ag 0.2500 0.2500 0.2500
Tb 0.0000 0.0000 0.0000
```

Calculated values
Size of the total moment: 0.00 μB/f.u.
E_tot: -21.685 eV for the cell shown
D(E_F): 0.684 states/eV/atom
Space-group type: F-43m (216)

Q: Which of these has the highest size of the total moment?
A: Cs3CdBr6

Copy entry 8 word for word.
Material: TbAgSnRu
Method: DFT, PBE
State: relaxed Values from VASP.

Cell and atoms, written as Quantum ESPRESSO input:
```
&SYSTEM
  ibrav = 0, nat = 4, ntyp = 4
/
ATOMIC_SPECIES
Ru 101.07 Ru.upf
Sn 118.71 Sn.upf
Ag 107.87 Ag.upf
Tb 158.93 Tb.upf
CELL_PARAMETERS angstrom
-1.3225 -1.9240 4.2185
3.3124 -0.8866 3.3894
0.1195 2.6722 4.0115
ATOMIC_POSITIONS crystal
Ru 0.7500 0.7500 0.7500
Sn 0.5000 0.5000 0.5000
Ag 0.2500 0.2500 0.2500
Tb 0.0000 0.0000 0.0000
```

Calculated values
Size of the total moment: 0.00 μB/f.u.
E_tot: -21.685 eV for the cell shown
D(E_F): 0.684 states/eV/atom
Space-group type: F-43m (216)

Q: Which of these has the highest size of the total moment?
A: Cs3CdBr6

Q: Number 5 is which compound?
A: TaFeSCl2